# 1
# KTl3Sb | the Alexandria database | SCAN | PBEsol geometry
# Energy relative to the lowest polymorph listed for this composition: 590 meV per atom
# Total DFT energy (no corrections): -259.1 eV/cell
# Formation energy (no corrections): 0.72 eV per atom
# M_tot: 0.00 Bohr magnetons per cell
data_KTl3Sb
_cell_length_a 5.795
_cell_length_b 5.795
_cell_length_c 5.795
_cell_angle_alpha 90.00
_cell_angle_beta 90.00
_cell_angle_gamma 90.00
_symmetry_space_group_name_H-M 'P m -3 m'
_symmetry_Int_Tables_number 221
_symmetry_space_group_name_Hall '-P 4 2 3'
loop_
_atom_site_label
_atom_site_type_symbol
_atom_site_fract_x
_atom_site_fract_y
_atom_site_fract_z
K1 K 0.000 0.000 0.000
Tl1 Tl 0.000 0.000 0.500
Sb1 Sb 0.500 0.500 0.500

=====

# 2
# Ba2SiNiPt | the Alexandria database | SCAN | PBEsol geometry
# Total DFT energy (no corrections): -174.8 eV/cell
# Formation energy (no corrections): 0.13 eV per atom
# M_tot: 2.44 Bohr magnetons per cell
data_Ba2SiNiPt
_cell_length_a 5.726
_cell_length_b 5.726
_cell_length_c 4.532
_cell_angle_alpha 90.00
_cell_angle_beta 90.00
_cell_angle_gamma 90.00
_symmetry_space_group_name_H-M 'P 4/m m m'
_symmetry_Int_Tables_number 123
_symmetry_space_group_name_Hall '-P 4 2'
loop_
_atom_site_label
_atom_site_type_symbol
_atom_site_fract_x
_atom_site_fract_y
_atom_site_fract_z
Ba1 Ba 0.000 0.500 0.000
Si1 Si 0.000 0.000 0.500
Ni1 Ni 0.500 0.500 0.000
Pt1 Pt 0.500 0.500 0.500

=====

# 3
# K2PtPb | the Alexandria database | SCAN | PBEsol geometry
# Total DFT energy (no corrections): -163.2 eV/cell
# ΔE_f: -0.1508 eV per atom
# M_tot: 0.01 Bohr magnetons per cell
data_K2PtPb
_cell_length_a 3.709
_cell_length_b 3.709
_cell_length_c 9.835
_cell_angle_alpha 90.00
_cell_angle_beta 90.00
_cell_angle_gamma 90.00
_symmetry_space_group_name_H-M 'P 4 m m'
_symmetry_Int_Tables_number 99
loop_
_symmetry_equiv_pos_as_xyz
'x,y,z'
'-y,x,z'
'-x,-y,z'
'y,-x,z'
'-x,y,z'
'y,x,z'
'x,-y,z'
'-y,-x,z'
loop_
_atom_site_label
_atom_site_type_symbol
_atom_site_fract_x
_atom_site_fract_y
_atom_site_fract_z
K1 K 0.000 0.000 0.000
K2 K 0.500 0.500 0.415
Pt1 Pt 0.500 0.500 0.767
Pb1 Pb 0.000 0.000 0.662

=====

# 4
# Dy5Tl3 | the Alexandria database | SCAN | PBEsol geometry
# Total DFT energy (no corrections): -920.4 eV/cell
# ΔE_f: -0.5160 eV per atom
# M_tot: 0.00 Bohr magnetons per cell
data_Dy5Tl3
_cell_length_a 8.8913
_cell_length_b 8.8913
_cell_length_c 6.4742
_cell_angle_alpha 90.00
_cell_angle_beta 90.00
_cell_angle_gamma 120.00
_symmetry_space_group_name_H-M 'P 63/m c m'
_symmetry_Int_Tables_number 193
_symmetry_space_group_name_Hall '-P 6c 2'
loop_
_atom_site_label
_atom_site_type_symbol
_atom_site_fract_x
_atom_site_fract_y
_atom_site_fract_z
Dy1 Dy 0.0000 0.2348 0.2500
Dy2 Dy 0.3333 0.6667 0.0000
Tl1 Tl 0.0000 0.4021 0.7500

=====

# 5
# NaV4Cu3O12 | the Alexandria database | SCAN | PBEsol geometry
# Total DFT energy (no corrections): -471.3 eV/cell
# Formation energy (no corrections): -2.06 eV per atom
# M_tot: 0.01 Bohr magnetons per cell
data_NaV4Cu3O12
_cell_length_a 7.191
_cell_length_b 7.191
_cell_length_c 7.191
_cell_angle_alpha 90.00
_cell_angle_beta 90.00
_cell_angle_gamma 90.00
_symmetry_space_group_name_H-M 'I m -3'
_symmetry_Int_Tables_number 204
_symmetry_space_group_name_Hall '-I 2 2 3'
loop_
_atom_site_label
_atom_site_type_symbol
_atom_site_fract_x
_atom_site_fract_y
_atom_site_fract_z
Na1 Na 0.000 0.000 0.000
V1 V 0.250 0.250 0.250
Cu1 Cu 0.000 0.000 0.500
O1 O 0.000 0.185 0.303

=====

# 6
# SrSiSbTe2 | the Alexandria database | SCAN | PBEsol geometry
# Total DFT energy (no corrections): -145.3 eV/cell
# Formation energy (no corrections): -0.25 eV per atom
# M_tot: 0.00 Bohr magnetons per cell
data_SrSiSbTe2
_cell_length_a 5.430
_cell_length_b 5.430
_cell_length_c 5.103
_cell_angle_alpha 90.00
_cell_angle_beta 90.00
_cell_angle_gamma 90.00
_symmetry_space_group_name_H-M 'P 4/m m m'
_symmetry_Int_Tables_number 123
_symmetry_space_group_name_Hall '-P 4 2'
loop_
_atom_site_label
_atom_site_type_symbol
_atom_site_fract_x
_atom_site_fract_y
_atom_site_fract_z
Sr1 Sr 0.000 0.000 0.000
Si1 Si 0.500 0.500 0.500
Sb1 Sb 0.500 0.500 0.000
Te1 Te 0.000 0.500 0.500

=====

# 7
# Eu2HoTaO6 | the Alexandria database | SCAN | PBEsol geometry
# Total DFT energy (no corrections): -1176.0 eV/cell
# Formation energy (no corrections): -3.36 eV per atom
# M_tot: 56.00 Bohr magnetons per cell
data_Eu2HoTaO6
_cell_length_a 8.279
_cell_length_b 8.279
_cell_length_c 8.279
_cell_angle_alpha 90.00
_cell_angle_beta 90.00
_cell_angle_gamma 90.00
_symmetry_space_group_name_H-M 'F m -3 m'
_symmetry_Int_Tables_number 225
_symmetry_space_group_name_Hall '-F 4 2 3'
loop_
_atom_site_label
_atom_site_type_symbol
_atom_site_fract_x
_atom_site_fract_y
_atom_site_fract_z
Eu1 Eu 0.250 0.250 0.250
Ho1 Ho 0.000 0.000 0.000
Ta1 Ta 0.000 0.000 0.500
O1 O 0.000 0.000 0.262

=====

# 8
# BaLa3Ru | the Alexandria database | SCAN | PBEsol geometry
# Energy relative to the lowest polymorph listed for this composition: 0 meV per atom
# Total DFT energy (no corrections): -204.6 eV/cell
# ΔE_f: -0.1777 eV per atom
# M_tot: 0.31 Bohr magnetons per cell
data_BaLa3Ru
_cell_length_a 4.091
_cell_length_b 5.606
_cell_length_c 8.024
_cell_angle_alpha 90.00
_cell_angle_beta 90.00
_cell_angle_gamma 90.00
_symmetry_space_group_name_H-M 'P m m m'
_symmetry_Int_Tables_number 47
loop_
_symmetry_equiv_pos_as_xyz
'x,y,z'
'-x,-y,-z'
'-x,-y,z'
'x,y,-z'
'x,-y,-z'
'-x,y,z'
'-x,y,-z'
'x,-y,z'
loop_
_atom_site_label
_atom_site_type_symbol
_atom_site_fract_x
_atom_site_fract_y
_atom_site_fract_z
Ba1 Ba 0.000 0.000 0.000
La1 La 0.000 0.000 0.500
La2 La 0.500 0.500 0.265
Ru1 Ru 0.000 0.500 0.500